Record 1
Compound: Cd5Pd3
Source: Alexandria via LeMat-Bulk
Functional: PBE-GGA
Structure: optimized geometry

Calculated values
formation energy = -293 meV/atom
space-group type = Fmmm (69)

The structure in extended XYZ format:
```
8
Lattice="-2.138 -2.936 -3.347 4.450 1.008 -1.890 1.194 -4.024 5.493" Properties=species:S:1:pos:R:3 pbc="T T T"
Cd 0.669 -5.157 0.452
Pd 1.168 -2.478 1.428
Cd 0.000 0.000 0.000
Cd 3.963 -3.185 1.181
Cd -0.457 -2.766 -0.925
Cd 2.837 -0.794 -0.197
Pd 1.156 -0.964 -2.618
Pd 2.339 -3.473 -1.173
```



Record 2
Compound: LiMg12Ga6
Source: Alexandria via LeMat-Bulk
Functional: PBE-GGA
Structure: optimized geometry

Calculated values
formation energy = -61 meV/atom
space-group type = R-3 (148)

The structure in extended XYZ format:
```
19
Lattice="-5.874 4.910 -2.220 -3.185 -6.222 3.833 4.822 3.892 5.015" Properties=species:S:1:pos:R:3 pbc="T T T"
Ga -2.930 0.380 5.850
Mg -5.907 2.494 -0.323
Ga 0.451 0.386 2.608
Li 0.000 0.000 0.000
Mg -1.582 -3.830 4.904
Mg -0.662 -0.922 4.783
Ga -2.180 -0.737 1.364
Mg 0.341 1.966 4.946
Mg -3.519 -1.356 3.772
Mg -2.655 6.410 1.723
Ga -4.688 2.194 4.019
Mg -0.718 3.936 2.856
Mg -4.578 0.614 1.681
Mg -3.575 3.502 1.845
Ga -1.308 2.200 0.778
Ga -2.057 3.318 5.264
Mg 2.050 4.648 3.926
Mg -6.288 -2.068 2.701
Mg 1.670 0.086 6.951
```



Record 3
Compound: BeS2F
Source: Alexandria via LeMat-Bulk
Functional: PBE-GGA
Structure: optimized geometry

Calculated values
ΔE_f (raw) = -0.299 eV/atom
space-group type = R-3m (166)

The structure in extended XYZ format:
```
4
Lattice="-4.215 2.578 4.270 -1.264 3.790 5.166 -2.939 5.184 2.670" Properties=species:S:1:pos:R:3 pbc="T T T"
Be -4.209 5.776 6.053
S -0.907 1.245 1.305
F 0.000 0.000 0.000
S -7.511 10.307 10.801
```